Density functional theory data (SCAN) for a PBEsol-optimized structure of MgSc2Si.

The calculated total energy is -11.17 eV/atom. The calculation puts the formation energy (no corrections) at -303 meV per atom.

It has space group I4/mmm (No. 139), with a = 4.350 Å, b = 4.350 Å, c = 7.968 Å, α = 90.00°, β = 90.00° and γ = 90.00°. The distinct sites, in fractional coordinates, are Mg at (0.000, 0.000, 0.000), Sc at (0.000, 0.500, 0.250) and Si at (0.000, 0.000, 0.500).